1.
First-principles (PBE-GGA) data for SmGdPuHg after structural relaxation, as listed in Alexandria via LeMat-Bulk.

The density of states at the Fermi level comes out at 4.07 states/eV per atom.

It has space group F-43m (No. 216), with a = 7.664 Å, b = 7.664 Å, c = 7.664 Å, α = 90.00°, β = 90.00° and γ = 90.00°. Symmetry generates all atoms from Sm at (0.000, 0.000, 0.000), Gd at (0.000, 0.000, 0.500), Pu at (0.250, 0.250, 0.250) and Hg at (0.250, 0.250, 0.750).

2.
First-principles (PBE-GGA) data for GdPuThHg after structural relaxation, as listed in Alexandria via LeMat-Bulk.

The density of states at the Fermi level comes out at 3.64 states/eV per atom.

It has space group F-43m (No. 216), with a = 7.620 Å, b = 7.620 Å, c = 7.620 Å, α = 90.00°, β = 90.00° and γ = 90.00°. Symmetry generates all atoms from Gd at (0.000, 0.000, 0.000), Pu at (0.250, 0.250, 0.750), Th at (0.000, 0.000, 0.500) and Hg at (0.250, 0.250, 0.250).

3.
First-principles (PBE-GGA) data for Gd2ReHg after structural relaxation, as listed in Alexandria via LeMat-Bulk.

The density of states at the Fermi level comes out at 0.91 states/eV per atom.

It has space group P4/mmm (No. 123), with a = 3.497 Å, b = 3.497 Å, c = 7.766 Å, α = 90.00°, β = 90.00° and γ = 90.00°. Symmetry generates all atoms from Gd at (0.000, 0.000, 0.216), Re at (0.500, 0.500, 0.000) and Hg at (0.500, 0.500, 0.500).

4.
First-principles (PBE-GGA) data for GdHg2Rh after structural relaxation, as listed in Alexandria via LeMat-Bulk.

The density of states at the Fermi level comes out at 0.67 states/eV per atom.

It has space group P4/mmm (No. 123), with a = 4.161 Å, b = 4.161 Å, c = 5.000 Å, α = 90.00°, β = 90.00° and γ = 90.00°. Symmetry generates all atoms from Gd at (0.000, 0.000, 0.000), Hg at (0.000, 0.500, 0.500) and Rh at (0.500, 0.500, 0.000).

5.
First-principles (PBE-GGA) data for GdHgRh2 after structural relaxation, as listed in Alexandria via LeMat-Bulk.

The density of states at the Fermi level comes out at 0.72 states/eV per atom.

It has space group P4/mmm (No. 123), with a = 4.413 Å, b = 4.413 Å, c = 3.789 Å, α = 90.00°, β = 90.00° and γ = 90.00°. Symmetry generates all atoms from Gd at (0.000, 0.000, 0.000), Hg at (0.500, 0.500, 0.000) and Rh at (0.000, 0.500, 0.500).

6.
First-principles (PBE-GGA) data for GdHg2Rh after structural relaxation, as listed in Alexandria via LeMat-Bulk.

The density of states at the Fermi level comes out at 0.76 states/eV per atom.

It has space group Fm-3m (No. 225), with a = 6.985 Å, b = 6.985 Å, c = 6.985 Å, α = 90.00°, β = 90.00° and γ = 90.00°. Symmetry generates all atoms from Gd at (0.000, 0.000, 0.000), Hg at (0.250, 0.250, 0.250) and Rh at (0.000, 0.000, 0.500).

7.
First-principles (PBE-GGA) data for GdHgRh after structural relaxation, as listed in Alexandria via LeMat-Bulk.

As for the distance to the lowest polymorph of the same formula: 0.001 eV/atom. The density of states at the Fermi level comes out at 0.39 states/eV per atom.

It has space group F-43m (No. 216), with a = 6.627 Å, b = 6.627 Å, c = 6.627 Å, α = 90.00°, β = 90.00° and γ = 90.00°. Symmetry generates all atoms from Gd at (0.000, 0.000, 0.000), Hg at (0.000, 0.000, 0.500) and Rh at (0.250, 0.250, 0.750).

8.
First-principles (PBE-GGA) data for GdHgRh after structural relaxation, as listed in Alexandria via LeMat-Bulk.

As for the distance to the lowest polymorph of the same formula: 0.059 eV/atom. The density of states at the Fermi level comes out at 0.95 states/eV per atom.

It has space group P-6m2 (No. 187), with a = 4.7257 Å, b = 4.7257 Å, c = 3.4111 Å, α = 90.00°, β = 90.00° and γ = 120.00°. Symmetry generates all atoms from Gd at (0.0000, 0.0000, 0.0000), Hg at (0.3333, 0.6667, 0.5000) and Rh at (0.6667, 0.3333, 0.5000).

9.
First-principles (PBE-GGA) data for GdHgRh after structural relaxation, as listed in Alexandria via LeMat-Bulk.

As for the distance to the lowest polymorph of the same formula: 0.000 eV/atom. The density of states at the Fermi level comes out at 0.69 states/eV per atom.

It has space group I4mm (No. 107), with a = 3.638 Å, b = 3.638 Å, c = 9.668 Å, α = 90.00°, β = 90.00° and γ = 90.00°. Symmetry generates all atoms from Gd at (0.000, 0.000, 0.000), Hg at (0.000, 0.000, 0.688) and Rh at (0.000, 0.000, 0.356).

10.
First-principles (PBE-GGA) data for GdScHgRh after structural relaxation, as listed in Alexandria via LeMat-Bulk.

The density of states at the Fermi level comes out at 0.61 states/eV per atom.

It has space group F-43m (No. 216), with a = 7.002 Å, b = 7.002 Å, c = 7.002 Å, α = 90.00°, β = 90.00° and γ = 90.00°. Symmetry generates all atoms from Gd at (0.000, 0.000, 0.000), Sc at (0.000, 0.000, 0.500), Hg at (0.250, 0.250, 0.250) and Rh at (0.250, 0.250, 0.750).

11.
First-principles (PBE-GGA) data for SmGdHgRh after structural relaxation, as listed in Alexandria via LeMat-Bulk.

The density of states at the Fermi level comes out at 0.56 states/eV per atom.

It has space group F-43m (No. 216), with a = 7.257 Å, b = 7.257 Å, c = 7.257 Å, α = 90.00°, β = 90.00° and γ = 90.00°. Symmetry generates all atoms from Sm at (0.000, 0.000, 0.000), Gd at (0.000, 0.000, 0.500), Hg at (0.250, 0.250, 0.750) and Rh at (0.250, 0.250, 0.250).

12.
First-principles (PBE-GGA) data for SrGdHgRh after structural relaxation, as listed in Alexandria via LeMat-Bulk.

The density of states at the Fermi level comes out at 0.92 states/eV per atom.

It has space group F-43m (No. 216), with a = 7.376 Å, b = 7.376 Å, c = 7.376 Å, α = 90.00°, β = 90.00° and γ = 90.00°. Symmetry generates all atoms from Sr at (0.000, 0.000, 0.000), Gd at (0.000, 0.000, 0.500), Hg at (0.250, 0.250, 0.750) and Rh at (0.250, 0.250, 0.250).

| no. | total DFT energy (no corrections) (eV per atom) | ΔH_f (0 K) (eV per atom) |
| --- | --- | --- |
| 1 | -8.35 | 0.009 |
| 2 | -9.00 | 0.032 |
| 3 | -10.33 | -0.105 |
| 4 | -5.79 | -0.285 |
| 5 | -7.79 | -0.517 |
| 6 | -5.79 | -0.277 |
| 7 | -7.73 | -0.482 |
| 8 | -7.67 | -0.424 |
| 9 | -7.73 | -0.483 |
| 10 | -7.58 | -0.563 |
| 11 | -7.18 | -0.564 |
| 12 | -6.24 | -0.390 |